Lu2SbRu: relaxed, PBE.

Cell: 3.348 3.348 7.995 Å, 90.00 90.00 90.00°
Atoms (fractional coordinates):
Lu1 0.000 0.000 0.204
Lu2 0.000 0.000 0.796
Sb1 0.500 0.500 0.500
Ru1 0.500 0.500 0.000

## Properties
The value obtained for the uncorrected formation energy is -0.640 eV/atom.


La4Pm2In: relaxed, PBE.

Cell: 11.356 6.627 9.113 Å, 135.18 90.00 90.00°
Atoms (fractional coordinates):
La1 0.264 0.677 0.902
La2 0.653 0.101 0.561
La3 0.153 0.399 0.439
La4 0.764 0.823 0.098
In1 0.000 0.000 0.000
La5 0.847 0.601 0.561
Pm1 0.534 0.797 0.749
La6 0.736 0.323 0.098
Pm2 0.966 0.297 0.749
In2 0.500 0.500 0.000
La7 0.347 0.899 0.439
Pm3 0.466 0.203 0.251
Pm4 0.034 0.703 0.251
La8 0.236 0.177 0.902

## Properties
Its energy of formation from the pure elements is -0.053 eV/atom.


CdAgSe4: relaxed, PBE.

Cell: 5.789 5.789 5.789 Å, 60.00 60.00 60.00°
Atoms (fractional coordinates):
Se1 0.374 0.374 0.374
Se2 0.374 0.877 0.374
Cd1 0.000 0.000 0.000
Se3 0.877 0.374 0.374
Se4 0.374 0.374 0.877
Ag1 0.750 0.750 0.750

## Properties
The value obtained for the uncorrected formation energy is 0.432 eV/atom.


Pu2Si4TcPt3: relaxed, PBE.

Cell: 4.209 4.209 9.848 Å, 90.00 90.00 90.00°
Each line ends with the local moment (μB).
Atoms (fractional coordinates):
Pt1 0.000 0.500 0.125  -0.05
Si1 0.000 0.000 0.000  -0.02
Si2 0.000 0.500 0.371  -0.02
Pu1 0.500 0.000 0.248  5.09
Si3 0.500 0.000 0.629  -0.02
Pt2 0.500 0.000 0.875  -0.05
Si4 0.500 0.500 0.000  -0.03
Tc1 0.500 0.500 0.500  -0.20
Pt3 0.000 0.000 0.500  -0.01
Pu2 0.000 0.500 0.752  5.09

## Properties
The value obtained for the uncorrected formation energy is -0.837 eV/atom.


Nd7Y3Mg: relaxed, PBE.

Cell: 8.721 7.153 7.153 Å, 120.00 90.00 90.00°
Atoms (fractional coordinates):
Y1 0.783 0.501 0.001
Nd1 0.451 0.831 0.662
Nd2 0.115 0.167 0.833
Nd3 0.117 0.667 0.333
Y2 0.783 0.501 0.499
Nd4 0.451 0.831 0.169
Nd5 0.115 0.666 0.833
Y3 0.783 0.999 0.499
Mg1 0.452 0.333 0.667
Nd6 0.115 0.167 0.334
Nd7 0.451 0.338 0.169

## Properties
Its energy of formation from the pure elements is 0.177 eV/atom.


CdTe2Rh: relaxed, PBE.

Cell: 6.985 6.985 6.985 Å, 153.39 140.65 48.14°
Atoms (fractional coordinates):
Cd1 0.567 0.567 0.000
Te1 0.935 0.935 0.000
Te2 0.231 0.731 0.500
Rh1 0.767 0.267 0.500

## Properties
The value obtained for the uncorrected formation energy is -0.052 eV/atom.


NdSmY4S8: relaxed, PBE.

Cell: 8.122 8.122 8.158 Å, 60.14 60.14 60.00°
Atoms (fractional coordinates):
Y1 0.502 0.999 0.499
Y2 0.999 0.999 0.499
S1 0.243 0.780 0.734
S2 0.231 0.753 0.262
S3 0.758 0.758 0.727
S4 0.753 0.231 0.262
Nd1 0.374 0.374 0.877
S5 0.753 0.753 0.262
S6 0.780 0.243 0.734
Sm1 0.999 0.999 0.002
Y3 0.626 0.626 0.123
Y4 0.999 0.502 0.499
S7 0.239 0.239 0.284
S8 0.243 0.243 0.734

## Properties
The value obtained for the uncorrected formation energy is -1.933 eV/atom.


LaInBiAu: relaxed, PBE.

Cell: 5.414 5.414 5.414 Å, 60.00 60.00 60.00°
Atoms (fractional coordinates):
In1 0.250 0.250 0.250
Au1 0.000 0.000 0.000
La1 0.750 0.750 0.750
Bi1 0.500 0.500 0.500

## Properties
Its energy of formation from the pure elements is -0.462 eV/atom.


| no. | DOS(E_F) (states/eV/f.u.) |
| --- | --- |
| 1 | 1.1 |
| 2 | 11.9 |
| 3 | 1.6 |
| 4 | 26.2 |
| 5 | 15.6 |
| 6 | 1.9 |
| 7 | 8.5 |
| 8 | 3.8 |